{"formula": "Na2Ti2N2O", "functional": "GGA-PBE", "state": "optimized geometry", "lattice": [[11.014, 0.000, 0.000], [0.000, 3.303, 0.000], [-4.475, 0.000, 6.094]], "species": ["Na", "Na", "Na", "Na", "Ti", "Ti", "Ti", "Ti", "N", "N", "N", "N", "O", "O"], "fractional_positions": [[0.056, 0.000, 0.334], [0.444, 0.500, 0.666], [0.556, 0.500, 0.334], [0.944, 0.000, 0.666], [0.206, 0.500, 0.103], [0.294, 0.000, 0.897], [0.706, 0.000, 0.103], [0.794, 0.500, 0.897], [0.179, 0.500, 0.813], [0.321, 0.000, 0.187], [0.679, 0.000, 0.813], [0.821, 0.500, 0.187], [0.000, 0.500, 0.000], [0.500, 0.000, 0.000]], "dos_ef_per_ev_cell": 7.77, "e_tot_ev_per_cell": -97.5, "density_g_cm3": 2.782, "formation_energy_uncorrected_ev_per_atom": -1.2460}